No. 1
Here is an optimized crystal structure of Lu4PC3 from OQMD via LeMat-Bulk. Energies are from PBE.

a b c (Å): 3.504 3.504 24.709
angles (deg): 90.00 90.00 120.00
Fractional positions:
C 0.000 0.000 0.000
C 0.667 0.333 0.118
C 0.667 0.333 0.382
C 0.000 0.000 0.500
C 0.333 0.667 0.618
C 0.333 0.667 0.882
Lu 0.333 0.667 0.058
Lu 0.000 0.000 0.169
Lu 0.000 0.000 0.331
Lu 0.333 0.667 0.442
Lu 0.667 0.333 0.558
Lu 0.000 0.000 0.669
Lu 0.000 0.000 0.831
Lu 0.667 0.333 0.942
P 0.333 0.667 0.250
P 0.667 0.333 0.750

Values from the calculation:
- Total moment: 0.01 μB per cell
- Uncorrected energy: -6.8150 eV per atom

=====

No. 2
Here is an optimized crystal structure of Lu2PC from OQMD via LeMat-Bulk. Energies are from PBE.

a b c (Å): 6.171 6.171 13.555
angles (deg): 103.15 103.15 60.01
Fractional positions:
C 0.667 0.167 0.000
C 0.000 0.500 0.000
C 0.333 0.833 0.000
C 0.167 0.667 0.500
C 0.500 0.000 0.500
C 0.833 0.333 0.500
Lu 0.701 0.867 0.102
Lu 0.034 0.200 0.102
Lu 0.367 0.534 0.102
Lu 0.466 0.633 0.398
Lu 0.800 0.966 0.398
Lu 0.133 0.299 0.398
Lu 0.867 0.701 0.602
Lu 0.200 0.034 0.602
Lu 0.534 0.367 0.602
Lu 0.633 0.466 0.898
Lu 0.966 0.800 0.898
Lu 0.299 0.133 0.898
P 0.418 0.250 0.250
P 0.082 0.918 0.250
P 0.750 0.582 0.250
P 0.250 0.418 0.750
P 0.918 0.082 0.750
P 0.582 0.750 0.750

Values from the calculation:
- Total moment: 0.01 μB per cell
- Uncorrected energy: -6.6958 eV per atom

=====

No. 3
Here is an optimized crystal structure of Lu3PC2 from OQMD via LeMat-Bulk. Energies are from PBE.

a b c (Å): 3.516 3.516 18.961
angles (deg): 90.00 90.00 120.00
Fractional positions:
C 0.333 0.667 0.078
C 0.333 0.667 0.422
C 0.667 0.333 0.578
C 0.667 0.333 0.922
Lu 0.000 0.000 0.000
Lu 0.667 0.333 0.146
Lu 0.667 0.333 0.354
Lu 0.000 0.000 0.500
Lu 0.333 0.667 0.646
Lu 0.333 0.667 0.854
P 0.000 0.000 0.250
P 0.000 0.000 0.750

Values from the calculation:
- Total moment: 0.02 μB per cell
- Uncorrected energy: -6.7717 eV per atom

=====

No. 4
Here is an optimized crystal structure of Lu2PC from OQMD via LeMat-Bulk. Energies are from PBE.

a b c (Å): 3.563 3.563 13.082
angles (deg): 90.00 90.00 120.00
Fractional positions:
C 0.000 0.000 0.000
C 0.000 0.000 0.500
Lu 0.333 0.667 0.102
Lu 0.333 0.667 0.398
Lu 0.667 0.333 0.602
Lu 0.667 0.333 0.898
P 0.667 0.333 0.250
P 0.333 0.667 0.750

Values from the calculation:
- Total moment: 0.01 μB per cell
- Uncorrected energy: -6.6956 eV per atom

=====

No. 5
Here is an optimized crystal structure of Lu4PPbC2 from OQMD via LeMat-Bulk. Energies are from PBE.

a b c (Å): 3.568 3.568 14.442
angles (deg): 90.00 90.00 120.00
Fractional positions:
C 0.667 0.333 0.227
C 0.667 0.333 0.773
Lu 0.333 0.667 0.131
Lu 0.000 0.000 0.311
Lu 0.000 0.000 0.689
Lu 0.333 0.667 0.869
P 0.000 0.000 0.000
Pb 0.333 0.667 0.500

Values from the calculation:
- Total moment: 0.02 μB per cell
- Uncorrected energy: -6.3990 eV per atom

=====

No. 6
Here is an optimized crystal structure of Lu4PC2S from OQMD via LeMat-Bulk. Energies are from PBE.

a b c (Å): 3.586 3.586 12.797
angles (deg): 90.00 90.00 120.00
Fractional positions:
C 0.667 0.333 0.255
C 0.667 0.333 0.745
Lu 0.333 0.667 0.151
Lu 0.000 0.000 0.355
Lu 0.000 0.000 0.645
Lu 0.333 0.667 0.849
P 0.000 0.000 0.000
S 0.333 0.667 0.500

Values from the calculation:
- Total moment: 0.00 μB per cell
- Uncorrected energy: -6.8125 eV per atom